[1]
VASP calculation (PBE) on a relaxed structure of LaTcN2O.

Lattice parameters (Å, degrees): 4.369 4.369 4.391 90.00 90.00 90.00
Fractional positions:
N1 0.000 0.500 0.000
N2 0.500 0.000 0.000
O1 0.000 0.000 0.500
Tc1 0.500 0.500 0.500
La1 0.000 0.000 0.000

For the total energy, the calculation gives -6.318 eV/atom. For the magnetization, the calculation gives 0.877 μB/atom.

[2]
VASP calculation (PBE) on a relaxed structure of P2S.

Lattice parameters (Å, degrees): 3.427 3.034 6.568 90.00 91.59 90.00
Fractional positions:
P1 0.425 0.500 0.834
P2 0.438 0.500 0.513
S1 0.796 0.000 0.967

For the total energy, the calculation gives -4.569 eV/atom. For the magnetization, the calculation gives 0.000 μB/atom. As for the energy relative to the lowest polymorph listed for this composition: 389 meV per atom.

[3]
VASP calculation (PBE) on a relaxed structure of Sm3ZnTe.

Lattice parameters (Å, degrees): 6.731 6.731 9.280 68.73 68.73 60.00
Fractional positions:
Sm1 0.790 0.406 0.781
Sm2 0.210 0.977 0.219
Sm3 0.594 0.210 0.219
Sm4 0.406 0.023 0.781
Sm5 0.977 0.594 0.219
Sm6 0.023 0.790 0.781
Te1 0.167 0.167 0.498
Te2 0.833 0.833 0.502
Zn1 0.650 0.650 0.050
Zn2 0.350 0.350 0.950

For the total energy, the calculation gives -4.101 eV/atom. For the magnetization, the calculation gives 0.000 μB/atom.

[4]
VASP calculation (PBE) on a relaxed structure of NpUTe2.

Lattice parameters (Å, degrees): 3.830 3.830 10.554 79.54 79.54 60.00
Fractional positions:
U1 0.000 0.000 0.000
Np1 0.500 0.500 0.500
Te1 0.098 0.098 0.706
Te2 0.902 0.902 0.294

For the total energy, the calculation gives -7.487 eV/atom. For the magnetization, the calculation gives 0.213 μB/atom. As for the energy relative to the lowest polymorph listed for this composition: 637 meV per atom.

[5]
VASP calculation (PBE) on a relaxed structure of Li2CdC2O6.

Lattice parameters (Å, degrees): 5.012 5.012 6.165 90.00 90.00 120.00
Fractional positions:
Cd1 0.000 0.000 0.000
Li1 0.667 0.333 0.707
Li2 0.333 0.667 0.293
C1 0.333 0.667 0.778
C2 0.667 0.333 0.222
O1 0.410 0.072 0.223
O2 0.590 0.928 0.777
O3 0.661 0.590 0.223
O4 0.928 0.339 0.223
O5 0.072 0.661 0.777
O6 0.339 0.410 0.777

For the total energy, the calculation gives -6.412 eV/atom. For the magnetization, the calculation gives 0.000 μB/atom.

[6]
VASP calculation (PBE) on a relaxed structure of La6TbPr2Sm.

Lattice parameters (Å, degrees): 9.328 9.196 9.196 114.67 90.16 90.16
Fractional positions:
Tb1 0.250 0.931 0.069
Tb2 0.750 0.069 0.931
La1 0.181 0.532 0.969
La2 0.681 0.969 0.532
La3 0.592 0.778 0.074
La4 0.319 0.031 0.468
La5 0.594 0.425 0.722
La6 0.406 0.575 0.278
La7 0.906 0.278 0.575
La8 0.408 0.222 0.926
La9 0.819 0.468 0.031
La10 0.092 0.074 0.778
La11 0.094 0.722 0.425
La12 0.908 0.926 0.222
Pr1 0.436 0.795 0.706
Pr2 0.564 0.205 0.294
Pr3 0.936 0.706 0.795
Pr4 0.064 0.294 0.205
Sm1 0.250 0.429 0.571
Sm2 0.750 0.571 0.429

For the total energy, the calculation gives -4.741 eV/atom. For the magnetization, the calculation gives 0.000 μB/atom. As for the formation energy: 0.11 eV/atom.

[7]
VASP calculation (PBE) on a relaxed structure of WBr2.

Lattice parameters (Å, degrees): 7.834 7.834 9.098 57.25 57.25 23.66
Fractional positions:
W1 0.801 0.801 0.872
W2 0.199 0.199 0.128
Br1 0.234 0.234 0.722
Br2 0.461 0.461 0.785
Br3 0.539 0.539 0.215
Br4 0.766 0.766 0.278

For the total energy, the calculation gives -5.403 eV/atom. For the magnetization, the calculation gives 0.000 μB/atom. As for the energy relative to the lowest polymorph listed for this composition: 496 meV per atom.

[8]
VASP calculation (PBE) on a relaxed structure of HfFeSnPt.

Lattice parameters (Å, degrees): 4.589 4.589 4.589 60.00 60.00 60.00
Fractional positions:
Sn1 0.000 0.000 0.000
Pt1 0.750 0.750 0.750
Hf1 0.500 0.500 0.500
Fe1 0.250 0.250 0.250

For the total energy, the calculation gives -7.571 eV/atom. For the magnetization, the calculation gives 0.453 μB/atom. As for the formation energy: -0.46 eV/atom.

[9]
VASP calculation (PBE) on a relaxed structure of Ho6Sb2Pd.

Lattice parameters (Å, degrees): 6.359 7.937 10.053 90.00 90.84 90.00
Fractional positions:
Ho1 0.632 0.170 0.954
Ho2 0.624 0.193 0.545
Ho3 0.362 0.527 0.741
Ho4 0.638 0.473 0.259
Ho5 0.124 0.307 0.045
Ho6 0.876 0.693 0.955
Ho7 0.138 0.027 0.759
Ho8 0.862 0.973 0.241
Ho9 0.376 0.807 0.455
Ho10 0.132 0.330 0.454
Ho11 0.868 0.670 0.546
Ho12 0.368 0.830 0.046
Sb1 0.902 0.382 0.754
Sb2 0.402 0.118 0.254
Sb3 0.098 0.618 0.246
Sb4 0.598 0.882 0.746
Pd1 0.500 0.500 0.000
Pd2 0.000 0.000 0.500

For the total energy, the calculation gives -5.180 eV/atom. For the magnetization, the calculation gives 0.000 μB/atom.

[10]
VASP calculation (PBE) on a relaxed structure of HgRh2C.

Lattice parameters (Å, degrees): 6.345 6.345 5.418 54.15 54.15 90.00
Fractional positions:
C1 0.500 0.500 0.000
C2 0.250 0.750 0.500
Rh1 0.875 0.758 0.750
Rh2 0.242 0.625 0.250
Rh3 0.375 0.492 0.750
Rh4 0.508 0.125 0.250
Hg1 0.000 0.000 0.000
Hg2 0.750 0.250 0.500

For the total energy, the calculation gives -5.811 eV/atom. For the magnetization, the calculation gives 0.000 μB/atom. As for the formation energy: 0.25 eV/atom. As for the energy relative to the lowest polymorph listed for this composition: 0 meV per atom.